No. 1
The following is a DFT calculation (PBE-GGA) of Tl3TcRh3Se8 after structural relaxation.

a = 13.1824 Å, b = 7.6059 Å, c = 8.4989 Å
α = 90.00°, β = 121.19°, γ = 90.00°
With the nearest neighbours (Å) after each atom.
Space group C2/m (No. 12)
Symmetry-distinct sites (fractional):
Tl1 0.0000 0.0000 0.0000  6 Se 3.21-3.25
Tl2 0.2500 0.2500 0.0000  6 Se 3.21-3.26
Tc1 0.0000 0.0000 0.5000  6 Se 2.56
Rh1 0.0000 0.5000 0.5000  6 Se 2.52-2.55
Rh2 0.2500 0.2500 0.5000  6 Se 2.52-2.55
Se1 0.0242 0.2514 0.3213  2 Rh 2.55, 1 Tc 2.56
Se2 0.2232 0.5000 0.6694  3 Rh 2.52
Se3 0.2272 0.0000 0.6788  2 Rh 2.55, 1 Tc 2.56

Formation energy (no corrections) (eV per atom): -0.3334

=====

No. 2
The following is a DFT calculation (PBE-GGA) of VNiPd after structural relaxation.

a = 2.6781 Å, b = 2.6781 Å, c = 11.0066 Å
α = 90.00°, β = 90.00°, γ = 90.00°
With the nearest neighbours (Å) after each atom.
Space group I4mm (No. 107)
Symmetry-distinct sites (fractional):
V1 0.0000 0.0000 0.0000  4 Ni 2.52, 4 V 2.68, 4 Pd 2.70
Ni1 0.0000 0.0000 0.6508  4 V 2.52, 4 Ni 2.68, 4 Pd 2.70
Pd1 0.0000 0.0000 0.3256  4 Pd 2.68, 4 V 2.70, 4 Ni 2.70

Energy above the lowest structure with this stoichiometry (eV per formula unit): 0.21

=====

Number 1: calculated total energy -0.3547 Ry/atom. Number 2: calculated total energy -0.5043 Ry/atom.